Entry P
Below is an optimized crystal structure of Zr2NiRu, with properties calculated at the GGA-PBEsol level.

For the magnetic moment, the calculation gives 0.00 μB/f.u. The space-group type is No. 166. The crystal system is trigonal.

a b c (Å): 3.288 3.288 7.626
angles (deg): 77.55 77.55 60.00
Fractional coordinates of all 4 atoms:
Zr: 0.247 0.247 0.258
Zr: 0.753 0.753 0.742
Ni: 0.500 0.500 0.500
Ru: 0.000 0.000 0.000

Entry Q
Below is an optimized crystal structure of Zr2NiRu, with properties calculated at the GGA-PBEsol level.

For the magnetic moment, the calculation gives 0.00 μB/f.u. The space-group type is No. 123. The crystal system is tetragonal.

a b c (Å): 3.199 3.199 6.408
angles (deg): 90.00 90.00 90.00
Fractional coordinates of all 4 atoms:
Ru: 0.500 0.500 0.500
Zr: 0.000 0.000 0.754
Zr: 0.000 0.000 0.246
Ni: 0.500 0.500 0.000

Entry R
Below is an optimized crystal structure of Zr2NiRu, with properties calculated at the GGA-PBEsol level.

For the magnetic moment, the calculation gives 0.00 μB/f.u. The space-group type is No. 139. The crystal system is tetragonal.

a b c (Å): 4.532 4.532 4.532
angles (deg): 90.20 119.88 119.88
Fractional coordinates of all 4 atoms:
Ru: 0.000 0.500 0.500
Zr: 0.500 0.250 0.750
Zr: 0.500 0.750 0.250
Ni: 0.000 0.000 0.000

Which of them is the most stable, and which is the least stable? entry Q and entry P, in that order.

Entry P
Below is an optimized crystal structure of NiSb3, with properties calculated at the GGA-PBEsol level.

For the magnetic moment, the calculation gives 0.00 μB/f.u. The space-group type is No. 187. The crystal system is hexagonal.

a b c (Å): 3.344 3.344 9.186
angles (deg): 90.00 90.00 120.00
Fractional coordinates of all 4 atoms:
Sb: 0.333 0.667 0.189
Sb: 0.000 0.000 0.500
Sb: 0.333 0.667 0.811
Ni: 0.000 0.000 0.000

Entry Q
Below is an optimized crystal structure of NiSb3, with properties calculated at the GGA-PBEsol level.

For the magnetic moment, the calculation gives 0.00 μB/f.u. The space-group type is No. 204. The crystal system is cubic.

a b c (Å): 7.887 7.887 7.887
angles (deg): 109.47 109.47 109.47
Fractional coordinates of all 16 atoms:
Sb: 0.824 0.664 0.160
Sb: 0.336 0.160 0.496
Sb: 0.160 0.824 0.664
Sb: 0.160 0.496 0.336
Sb: 0.664 0.160 0.824
Sb: 0.176 0.336 0.840
Sb: 0.336 0.840 0.176
Sb: 0.664 0.840 0.504
Sb: 0.840 0.176 0.336
Sb: 0.496 0.336 0.160
Sb: 0.840 0.504 0.664
Sb: 0.504 0.664 0.840
Ni: 0.000 0.000 0.500
Ni: 0.000 0.500 0.000
Ni: 0.500 0.500 0.500
Ni: 0.500 0.000 0.000

Entry R
Below is an optimized crystal structure of NiSb3, with properties calculated at the GGA-PBEsol level.

For the magnetic moment, the calculation gives 0.00 μB/f.u. The space-group type is No. 139. The crystal system is tetragonal.

a b c (Å): 4.682 4.682 5.172
angles (deg): 116.91 116.91 90.00
Fractional coordinates of all 4 atoms:
Sb: 0.750 0.250 0.500
Sb: 0.500 0.500 0.000
Sb: 0.250 0.750 0.500
Ni: 0.000 0.000 0.000

Which of them is the most stable, and which is the least stable? entry Q and entry R, in that order.

Entry P
Below is an optimized crystal structure of TcNi2Sb, with properties calculated at the GGA-PBEsol level.

For the magnetic moment, the calculation gives 0.00 μB/f.u. The space-group type is No. 123. The crystal system is tetragonal.

a b c (Å): 3.231 3.231 5.326
angles (deg): 90.00 90.00 90.00
Fractional coordinates of all 4 atoms:
Tc: 0.500 0.500 0.500
Sb: 0.500 0.500 0.000
Ni: 0.000 0.000 0.268
Ni: 0.000 0.000 0.732

Entry Q
Below is an optimized crystal structure of TcNi2Sb, with properties calculated at the GGA-PBEsol level.

For the magnetic moment, the calculation gives 0.00 μB/f.u. The space-group type is No. 225. The crystal system is cubic.

a b c (Å): 4.237 4.237 4.237
angles (deg): 60.00 60.00 60.00
Fractional coordinates of all 4 atoms:
Ni: 0.750 0.750 0.750
Ni: 0.250 0.250 0.250
Tc: 0.500 0.500 0.500
Sb: 0.000 0.000 0.000

Which of them is the most stable, and which is the least stable? entry P and entry Q, in that order.

Entry P
Below is an optimized crystal structure of TlNiSb2, with properties calculated at the GGA-PBEsol level.

For the magnetic moment, the calculation gives 0.00 μB/f.u. The space-group type is No. 65. The crystal system is orthorhombic.

a b c (Å): 3.990 5.324 5.325
angles (deg): 121.71 90.00 90.00
Fractional coordinates of all 4 atoms:
Sb: 0.000 0.669 0.831
Sb: 0.000 0.331 0.169
Tl: 0.500 0.000 0.500
Ni: 0.500 0.500 0.000

Entry Q
Below is an optimized crystal structure of TlNiSb2, with properties calculated at the GGA-PBEsol level.

For the magnetic moment, the calculation gives 0.00 μB/f.u. The space-group type is No. 166. The crystal system is trigonal.

a b c (Å): 3.922 3.922 7.460
angles (deg): 74.76 74.76 60.00
Fractional coordinates of all 4 atoms:
Sb: 0.222 0.222 0.335
Sb: 0.778 0.778 0.665
Tl: 0.000 0.000 0.000
Ni: 0.500 0.500 0.500

Entry R
Below is an optimized crystal structure of TlNiSb2, with properties calculated at the GGA-PBEsol level.

For the magnetic moment, the calculation gives 0.00 μB/f.u. The space-group type is No. 65. The crystal system is orthorhombic.

a b c (Å): 3.195 3.195 8.842
angles (deg): 90.00 90.00 94.88
Fractional coordinates of all 4 atoms:
Tl: 0.500 0.500 0.500
Sb: 0.000 0.000 0.820
Sb: 0.000 0.000 0.180
Ni: 0.500 0.500 0.000

Which of them is the most stable, and which is the least stable? entry Q and entry R, in that order.